Ac2PrCuTe5: optimized geometry, PBE.

Cell: 10.136 10.136 13.436 Å, 90.00 90.00 154.27°
Fractional positions:
1 Ac 0.110 0.890 0.500
2 Ac 0.122 0.878 0.125
3 Ac 0.878 0.122 0.625
4 Ac 0.890 0.110 0.000
5 Pr 0.192 0.808 0.824
6 Pr 0.808 0.192 0.324
7 Cu 0.430 0.570 0.268
8 Cu 0.570 0.430 0.768
9 Te 0.041 0.959 0.869
10 Te 0.289 0.711 0.490
11 Te 0.313 0.687 0.160
12 Te 0.356 0.644 0.816
13 Te 0.499 0.501 0.098
14 Te 0.501 0.499 0.598
15 Te 0.644 0.356 0.316
16 Te 0.687 0.313 0.660
17 Te 0.711 0.289 0.990
18 Te 0.959 0.041 0.369

Calculated values
symmetry = No. 36
formation energy from raw total energies = -1308 meV per atom
DFT total energy = -44.6 eV/f.u.
total moment = 0.00 μB per formula unit